(1)
! Be2ReSi, optimized geometry, DFT PBE; values from VASP
&SYSTEM
  ibrav = 0, nat = 4, ntyp = 3
/
ATOMIC_SPECIES
Be 9.01 Be.upf
Re 186.21 Re.upf
Si 28.09 Si.upf
ATOMIC_POSITIONS angstrom
Be 1.938 0.000 1.047
Be 5.979 0.000 3.245
Re 4.251 0.000 0.000
Si -0.292 0.000 2.146
CELL_PARAMETERS angstrom
4.251 -1.284 0.000
4.251 1.284 0.000
-0.585 0.000 4.292
! Total magnetic moment ... 0.000 μB/f.u.
! E ... -6.208 eV per atom

---

(2)
! Be2ReSi, optimized geometry, DFT PBE; values from VASP
&SYSTEM
  ibrav = 0, nat = 4, ntyp = 3
/
ATOMIC_SPECIES
Be 9.01 Be.upf
Re 186.21 Re.upf
Si 28.09 Si.upf
ATOMIC_POSITIONS angstrom
Be 0.000 0.000 0.000
Be 0.000 1.816 2.023
Re 1.604 0.000 1.890
Si 0.000 0.000 3.836
CELL_PARAMETERS angstrom
-1.604 1.816 3.753
1.604 -1.816 3.753
1.604 1.816 -3.753
! Total magnetic moment ... 0.002 μB/f.u.
! E ... -6.556 eV per atom

---

(3)
! BeRe4Si, optimized geometry, DFT PBE; values from VASP
&SYSTEM
  ibrav = 0, nat = 6, ntyp = 3
/
ATOMIC_SPECIES
Be 9.01 Be.upf
Re 186.21 Re.upf
Si 28.09 Si.upf
ATOMIC_POSITIONS angstrom
Be 0.000 0.000 0.000
Re 4.536 2.719 2.719
Re 2.719 4.536 2.719
Re 2.719 2.719 4.536
Re 4.536 4.536 4.536
Si 1.814 1.814 1.814
CELL_PARAMETERS angstrom
0.000 3.627 3.627
3.627 0.000 3.627
3.627 3.627 0.000
! Total magnetic moment ... 0.000 μB/f.u.
! E ... -9.002 eV per atom

---

(4)
! Be4ReSi, optimized geometry, DFT PBE; values from VASP
&SYSTEM
  ibrav = 0, nat = 12, ntyp = 3
/
ATOMIC_SPECIES
Be 9.01 Be.upf
Re 186.21 Re.upf
Si 28.09 Si.upf
ATOMIC_POSITIONS angstrom
Be 1.680 4.626 3.867
Be 1.680 3.373 5.870
Be 1.680 1.428 3.764
Be 1.680 0.114 1.538
Be 1.680 -0.114 5.406
Be 1.680 -1.428 7.631
Be 1.680 -3.373 2.002
Be 1.680 -4.626 0.000
Re 1.680 3.061 1.859
Re 1.680 -3.061 5.726
Si 1.680 1.566 7.587
Si 1.680 -1.566 3.719
CELL_PARAMETERS angstrom
1.680 -4.645 0.000
1.680 4.645 0.000
0.000 0.000 7.735
! Total magnetic moment ... 0.000 μB/f.u.
! Excess energy over the best structure of this formula in the dataset ... 109 meV/atom

---

(5)
! Be3ReSi2, optimized geometry, DFT PBE; values from VASP
&SYSTEM
  ibrav = 0, nat = 12, ntyp = 3
/
ATOMIC_SPECIES
Be 9.01 Be.upf
Re 186.21 Re.upf
Si 28.09 Si.upf
ATOMIC_POSITIONS angstrom
Be 0.276 1.007 0.520
Be 0.031 -0.638 4.527
Be -0.440 1.422 6.007
Be 2.324 0.737 2.005
Be 1.853 2.796 3.485
Be 1.607 1.151 7.492
Re -0.422 3.254 2.005
Re 2.305 -1.095 6.008
Si 0.217 1.172 3.067
Si 0.181 -0.650 7.073
Si 1.702 2.809 0.939
Si 1.666 0.987 4.945
CELL_PARAMETERS angstrom
4.214 0.000 0.000
-0.460 4.214 0.000
-1.871 -2.056 8.012
! Total magnetic moment ... 0.000 μB/f.u.
! E ... -5.742 eV per atom

---

(6)
! Be2ReSi, optimized geometry, DFT PBE; values from VASP
&SYSTEM
  ibrav = 0, nat = 4, ntyp = 3
/
ATOMIC_SPECIES
Be 9.01 Be.upf
Re 186.21 Re.upf
Si 28.09 Si.upf
ATOMIC_POSITIONS angstrom
Be 0.000 0.000 0.000
Be 0.000 1.702 1.946
Re 1.654 0.000 1.946
Si 1.654 1.702 0.000
CELL_PARAMETERS angstrom
3.308 0.000 0.000
0.000 3.404 0.000
0.000 0.000 3.891
! Total magnetic moment ... 0.000 μB/f.u.
! E ... -6.348 eV per atom

---

(7)
! Be2ReSi, optimized geometry, DFT PBE; values from VASP
&SYSTEM
  ibrav = 0, nat = 4, ntyp = 3
/
ATOMIC_SPECIES
Be 9.01 Be.upf
Re 186.21 Re.upf
Si 28.09 Si.upf
ATOMIC_POSITIONS angstrom
Be 0.000 0.000 1.915
Be 0.000 0.000 5.740
Re 0.000 1.869 0.000
Si 1.563 0.000 0.000
CELL_PARAMETERS angstrom
-1.563 1.869 3.828
1.563 -1.869 3.828
1.563 1.869 -3.828
! Total magnetic moment ... 0.000 μB/f.u.
! E ... -6.445 eV per atom

---

(8)
! Be2ReSi, optimized geometry, DFT PBE; values from VASP
&SYSTEM
  ibrav = 0, nat = 4, ntyp = 3
/
ATOMIC_SPECIES
Be 9.01 Be.upf
Re 186.21 Re.upf
Si 28.09 Si.upf
ATOMIC_POSITIONS angstrom
Be 0.000 0.000 0.000
Be 0.000 1.918 1.044
Re 1.303 1.918 3.461
Si 0.000 0.000 2.306
CELL_PARAMETERS angstrom
2.606 0.000 0.000
0.000 3.836 0.000
0.000 0.000 4.605
! Total magnetic moment ... 0.000 μB/f.u.
! E ... -6.354 eV per atom

---

(9)
! Be2ReSi, optimized geometry, DFT PBE; values from VASP
&SYSTEM
  ibrav = 0, nat = 4, ntyp = 3
/
ATOMIC_SPECIES
Be 9.01 Be.upf
Re 186.21 Re.upf
Si 28.09 Si.upf
ATOMIC_POSITIONS angstrom
Be 0.000 0.000 0.000
Be 1.734 0.000 3.261
Re 4.146 0.000 2.165
Si 6.441 0.000 1.141
CELL_PARAMETERS angstrom
4.321 -1.277 0.000
4.321 1.277 0.000
-0.435 0.000 4.251
! Total magnetic moment ... 0.000 μB/f.u.
! E ... -6.248 eV per atom

---

(10)
! BeRe2Si2, optimized geometry, DFT PBE; values from VASP
&SYSTEM
  ibrav = 0, nat = 10, ntyp = 3
/
ATOMIC_SPECIES
Be 9.01 Be.upf
Re 186.21 Re.upf
Si 28.09 Si.upf
ATOMIC_POSITIONS angstrom
Be 0.000 0.000 0.000
Be 3.322 3.322 0.000
Re 1.047 2.274 1.526
Re 2.274 5.596 1.526
Re 4.369 1.047 1.526
Re 5.596 4.369 1.526
Si 0.926 4.247 0.000
Si 2.396 0.926 0.000
Si 4.247 5.718 0.000
Si 5.718 2.396 0.000
CELL_PARAMETERS angstrom
6.643 0.000 0.000
0.000 6.643 0.000
0.000 0.000 3.053
! Total magnetic moment ... 0.000 μB/f.u.
! E ... -7.767 eV per atom

---

(11)
! SrBeRe2Si, optimized geometry, DFT PBE; values from VASP
&SYSTEM
  ibrav = 0, nat = 5, ntyp = 4
/
ATOMIC_SPECIES
Sr 87.62 Sr.upf
Be 9.01 Be.upf
Re 186.21 Re.upf
Si 28.09 Si.upf
ATOMIC_POSITIONS angstrom
Sr 0.000 0.000 0.000
Be 2.201 2.201 2.171
Re 0.000 2.201 2.171
Re 2.201 0.000 2.171
Si 2.201 2.201 0.000
CELL_PARAMETERS angstrom
4.402 0.000 0.000
0.000 4.402 0.000
0.000 0.000 4.342
! Total magnetic moment ... 0.000 μB/f.u.
! E ... -6.214 eV per atom

---

(12)
! BeRe2SiTc, optimized geometry, DFT PBE; values from VASP
&SYSTEM
  ibrav = 0, nat = 5, ntyp = 4
/
ATOMIC_SPECIES
Be 9.01 Be.upf
Re 186.21 Re.upf
Si 28.09 Si.upf
Tc 98.00 Tc.upf
ATOMIC_POSITIONS angstrom
Be 0.000 0.000 0.000
Re 0.000 2.227 1.971
Re 2.227 0.000 1.971
Si 0.000 0.000 1.971
Tc 2.227 2.227 0.000
CELL_PARAMETERS angstrom
4.455 0.000 0.000
0.000 4.455 0.000
0.000 0.000 3.941
! Total magnetic moment ... 2.583 μB/f.u.
! E ... -7.618 eV per atom